Below is a relaxed PrSm8Sn2 crystal, with properties calculated at the PBE level.

Values from the calculation:
Crystal system = monoclinic
Theoretical density = 7.2 Mg/m³
Energy of formation from the pure elements = -0.184 eV/atom
D(E_F) = 14.133 states/eV/f.u.

Geometry as POSCAR:
```
PrSm8Sn2
1.0
-2.6034 -1.0671 -5.7784
7.2791 -4.9759 -1.6118
2.2621 -8.5734 1.3129
Sm Sn Pr
8 2 1
direct
0.5910 0.6442 0.1548 Sm
0.4090 0.3558 0.8452 Sm
0.1674 0.7852 0.7852 Sm
0.1039 0.4161 0.4161 Sm
0.8326 0.2148 0.2148 Sm
0.4090 0.8452 0.3558 Sm
0.8961 0.5839 0.5839 Sm
0.5910 0.1548 0.6442 Sm
0.6703 0.7442 0.7442 Sn
0.3297 0.2558 0.2558 Sn
0.0000 0.0000 0.0000 Pr
```